Record 1
! Th2Ni3 meta-GGA SCAN PBEsol geometry; values from VASP
&SYSTEM
  ibrav = 0, nat = 10, ntyp = 2
/
ATOMIC_SPECIES
Th 232.04 Th.upf
Ni 58.69 Ni.upf
ATOMIC_POSITIONS crystal
Th 0.1547 0.8453 0.9010
Th 0.3453 0.6547 0.4010
Th 0.6547 0.3453 0.5990
Th 0.8453 0.1547 0.0990
Ni 0.0000 0.0000 0.5000
Ni 0.1511 0.3489 0.7500
Ni 0.3489 0.1511 0.2500
Ni 0.5000 0.5000 0.0000
Ni 0.6511 0.8489 0.7500
Ni 0.8489 0.6511 0.2500
CELL_PARAMETERS angstrom
2.5357 -4.5814 0.0000
2.5357 4.5814 0.0000
0.0000 0.0000 7.6847
! formation energy	-0.353	eV per atom
! density of states at the Fermi level	0.9789	states/eV per atom
! density	11.91	g cm⁻³
! symmetry	Cmce, No. 64

Record 2
! Ti2Ni meta-GGA SCAN PBEsol geometry; values from VASP
&SYSTEM
  ibrav = 0, nat = 24, ntyp = 2
/
ATOMIC_SPECIES
Ti 47.87 Ti.upf
Ni 58.69 Ni.upf
ATOMIC_POSITIONS crystal
Ti 0.0000 0.0000 0.0000
Ti 0.0000 0.0000 0.5000
Ti 0.0000 0.5000 0.0000
Ti 0.1878 0.1878 0.5622
Ti 0.1878 0.5622 0.1878
Ti 0.1878 0.5622 0.5622
Ti 0.4378 0.4378 0.8122
Ti 0.4378 0.8122 0.4378
Ti 0.4378 0.8122 0.8122
Ti 0.5000 0.0000 0.0000
Ti 0.5622 0.1878 0.1878
Ti 0.5622 0.1878 0.5622
Ti 0.5622 0.5622 0.1878
Ti 0.8122 0.4378 0.4378
Ti 0.8122 0.4378 0.8122
Ti 0.8122 0.8122 0.4378
Ni 0.1407 0.7864 0.7864
Ni 0.2136 0.2136 0.2136
Ni 0.2136 0.2136 0.8593
Ni 0.2136 0.8593 0.2136
Ni 0.7864 0.1407 0.7864
Ni 0.7864 0.7864 0.1407
Ni 0.7864 0.7864 0.7864
Ni 0.8593 0.2136 0.2136
CELL_PARAMETERS angstrom
0.0000 5.5681 5.5681
5.5681 0.0000 5.5681
5.5681 5.5681 0.0000
! formation energy	-0.327	eV per atom
! density of states at the Fermi level	1.2547	states/eV per atom
! density	5.94	g cm⁻³
! symmetry	Fd-3m, No. 227

Record 3
! Ti3Ni4 meta-GGA SCAN PBEsol geometry; values from VASP
&SYSTEM
  ibrav = 0, nat = 14, ntyp = 2
/
ATOMIC_SPECIES
Ti 47.87 Ti.upf
Ni 58.69 Ni.upf
ATOMIC_POSITIONS crystal
Ti 0.0020 0.6061 0.7394
Ti 0.2606 0.9980 0.3939
Ti 0.3939 0.2606 0.9980
Ti 0.6061 0.7394 0.0020
Ti 0.7394 0.0020 0.6061
Ti 0.9980 0.3939 0.2606
Ni 0.0000 0.0000 0.0000
Ni 0.0816 0.2410 0.5587
Ni 0.2410 0.5587 0.0816
Ni 0.4413 0.9184 0.7590
Ni 0.5000 0.5000 0.5000
Ni 0.5587 0.0816 0.2410
Ni 0.7590 0.4413 0.9184
Ni 0.9184 0.7590 0.4413
CELL_PARAMETERS angstrom
5.5502 3.2044 1.6580
-5.5502 3.2044 1.6580
0.0000 -6.4088 1.6580
! formation energy	-0.457	eV per atom
! density of states at the Fermi level	0.6554	states/eV per atom
! density	7.10	g cm⁻³
! symmetry	R-3, No. 148

Record 4
! YTi2Ni2 meta-GGA SCAN PBEsol geometry; values from VASP
&SYSTEM
  ibrav = 0, nat = 5, ntyp = 3
/
ATOMIC_SPECIES
Y 88.91 Y.upf
Ti 47.87 Ti.upf
Ni 58.69 Ni.upf
ATOMIC_POSITIONS crystal
Y 0.0000 0.0000 0.0000
Ti 0.2500 0.7500 0.5000
Ti 0.7500 0.2500 0.5000
Ni 0.3800 0.3800 0.0000
Ni 0.6200 0.6200 0.0000
CELL_PARAMETERS angstrom
-2.0799 2.0799 4.8448
2.0799 -2.0799 4.8448
2.0799 2.0799 -4.8448
! formation energy	-0.358	eV per atom
! density of states at the Fermi level	0.6945	states/eV per atom
! density	5.98	g cm⁻³
! symmetry	I4/mmm, No. 139

Record 5
! YTi2Ni meta-GGA SCAN PBEsol geometry; values from VASP
&SYSTEM
  ibrav = 0, nat = 4, ntyp = 3
/
ATOMIC_SPECIES
Y 88.91 Y.upf
Ti 47.87 Ti.upf
Ni 58.69 Ni.upf
ATOMIC_POSITIONS crystal
Y 0.0000 0.0000 0.0000
Ti 0.2500 0.2500 0.2500
Ti 0.7500 0.7500 0.7500
Ni 0.5000 0.5000 0.5000
CELL_PARAMETERS angstrom
0.0000 3.2041 3.2041
3.2041 0.0000 3.2041
3.2041 3.2041 0.0000
! formation energy	0.280	eV per atom
! density of states at the Fermi level	1.4493	states/eV per atom
! density	6.14	g cm⁻³
! symmetry	Fm-3m, No. 225

Record 6
! TiZn2Ni meta-GGA SCAN PBEsol geometry; values from VASP
&SYSTEM
  ibrav = 0, nat = 4, ntyp = 3
/
ATOMIC_SPECIES
Ti 47.87 Ti.upf
Zn 65.41 Zn.upf
Ni 58.69 Ni.upf
ATOMIC_POSITIONS crystal
Ti 0.0000 0.0000 0.0000
Zn 0.2500 0.2500 0.2500
Zn 0.7500 0.7500 0.7500
Ni 0.5000 0.5000 0.5000
CELL_PARAMETERS angstrom
0.0000 2.9580 2.9580
2.9580 0.0000 2.9580
2.9580 2.9580 0.0000
! formation energy	-0.267	eV per atom
! density of states at the Fermi level	0.4617	states/eV per atom
! density	7.62	g cm⁻³
! symmetry	Fm-3m, No. 225

Record 7
! ZrTi2Ni2 meta-GGA SCAN PBEsol geometry; values from VASP
&SYSTEM
  ibrav = 0, nat = 10, ntyp = 3
/
ATOMIC_SPECIES
Zr 91.22 Zr.upf
Ti 47.87 Ti.upf
Ni 58.69 Ni.upf
ATOMIC_POSITIONS crystal
Zr 0.0000 0.0000 0.0000
Zr 0.5000 0.5000 0.0000
Ti 0.1632 0.3368 0.5000
Ti 0.3368 0.8368 0.5000
Ti 0.6632 0.1632 0.5000
Ti 0.8368 0.6632 0.5000
Ni 0.1252 0.6252 0.0000
Ni 0.3748 0.1252 0.0000
Ni 0.6252 0.8748 0.0000
Ni 0.8748 0.3748 0.0000
CELL_PARAMETERS angstrom
7.0762 0.0000 0.0000
0.0000 7.0762 0.0000
0.0000 0.0000 2.9830
! formation energy	-0.315	eV per atom
! density of states at the Fermi level	0.9614	states/eV per atom
! density	6.77	g cm⁻³
! symmetry	P4/mbm, No. 127

Record 8
! ZrTi2Ni9 meta-GGA SCAN PBEsol geometry; values from VASP
&SYSTEM
  ibrav = 0, nat = 12, ntyp = 3
/
ATOMIC_SPECIES
Zr 91.22 Zr.upf
Ti 47.87 Ti.upf
Ni 58.69 Ni.upf
ATOMIC_POSITIONS crystal
Zr 0.0000 0.0000 0.0000
Ti 0.2191 0.2191 0.2191
Ti 0.7809 0.7809 0.7809
Ni 0.0000 0.5000 0.5000
Ni 0.2358 0.7138 0.7138
Ni 0.2862 0.2862 0.7642
Ni 0.2862 0.7642 0.2862
Ni 0.5000 0.0000 0.5000
Ni 0.5000 0.5000 0.0000
Ni 0.7138 0.2358 0.7138
Ni 0.7138 0.7138 0.2358
Ni 0.7642 0.2862 0.2862
CELL_PARAMETERS angstrom
2.5484 1.4713 6.2397
-2.5484 1.4713 6.2397
0.0000 -2.9426 6.2397
! formation energy	-0.461	eV per atom
! density of states at the Fermi level	0.1307	states/eV per atom
! density	8.46	g cm⁻³
! symmetry	R-3m, No. 166

Record 9
! ZrTi2Ni9 meta-GGA SCAN PBEsol geometry; values from VASP
&SYSTEM
  ibrav = 0, nat = 12, ntyp = 3
/
ATOMIC_SPECIES
Zr 91.22 Zr.upf
Ti 47.87 Ti.upf
Ni 58.69 Ni.upf
ATOMIC_POSITIONS crystal
Zr 0.0000 0.0000 0.0000
Ti 0.2200 0.2200 0.2200
Ti 0.4380 0.4380 0.4380
Ni 0.2247 0.7147 0.7147
Ni 0.4599 0.9371 0.9371
Ni 0.5030 0.5030 0.9847
Ni 0.5030 0.9847 0.5030
Ni 0.7147 0.2247 0.7147
Ni 0.7147 0.7147 0.2247
Ni 0.9371 0.4599 0.9371
Ni 0.9371 0.9371 0.4599
Ni 0.9847 0.5030 0.5030
CELL_PARAMETERS angstrom
2.5483 1.4713 6.2386
-2.5483 1.4713 6.2386
0.0000 -2.9425 6.2386
! formation energy	-0.462	eV per atom
! density of states at the Fermi level	0.1515	states/eV per atom
! density	8.46	g cm⁻³
! symmetry	R3m, No. 160

Record 10
! TlNi meta-GGA SCAN PBEsol geometry; values from VASP
&SYSTEM
  ibrav = 0, nat = 4, ntyp = 2
/
ATOMIC_SPECIES
Tl 204.38 Tl.upf
Ni 58.69 Ni.upf
ATOMIC_POSITIONS crystal
Tl 0.0991 0.0991 0.0991
Tl 0.9009 0.9009 0.9009
Ni 0.3347 0.3347 0.3347
Ni 0.6653 0.6653 0.6653
CELL_PARAMETERS angstrom
1.9580 1.1304 5.7601
-1.9580 1.1304 5.7601
0.0000 -2.2608 5.7601
! formation energy	0.385	eV per atom
! density of states at the Fermi level	0.6101	states/eV per atom
! density	11.42	g cm⁻³
! symmetry	R-3m, No. 166

Record 11
! TlNi meta-GGA SCAN PBEsol geometry; values from VASP
&SYSTEM
  ibrav = 0, nat = 4, ntyp = 2
/
ATOMIC_SPECIES
Tl 204.38 Tl.upf
Ni 58.69 Ni.upf
ATOMIC_POSITIONS crystal
Tl 0.1250 0.1250 0.1250
Tl 0.8750 0.8750 0.8750
Ni 0.3750 0.3750 0.3750
Ni 0.6250 0.6250 0.6250
CELL_PARAMETERS angstrom
0.0000 3.2426 3.2426
3.2426 0.0000 3.2426
3.2426 3.2426 0.0000
! formation energy	0.725	eV per atom
! density of states at the Fermi level	0.9539	states/eV per atom
! density	12.81	g cm⁻³
! symmetry	Fd-3m, No. 227

Record 12
! TlNi2W meta-GGA SCAN PBEsol geometry; values from VASP
&SYSTEM
  ibrav = 0, nat = 4, ntyp = 3
/
ATOMIC_SPECIES
Tl 204.38 Tl.upf
Ni 58.69 Ni.upf
W 183.84 W.upf
ATOMIC_POSITIONS crystal
Tl 0.0000 0.0000 0.0000
Ni 0.5000 0.5000 0.5000
Ni 0.7500 0.7500 0.7500
W 0.2500 0.2500 0.2500
CELL_PARAMETERS angstrom
0.0000 3.0705 3.0705
3.0705 0.0000 3.0705
3.0705 3.0705 0.0000
! formation energy	0.797	eV per atom
! density of states at the Fermi level	0.5953	states/eV per atom
! density	14.50	g cm⁻³
! symmetry	F-43m, No. 216

Record 13
! TlZnNi2 meta-GGA SCAN PBEsol geometry; values from VASP
&SYSTEM
  ibrav = 0, nat = 4, ntyp = 3
/
ATOMIC_SPECIES
Tl 204.38 Tl.upf
Zn 65.41 Zn.upf
Ni 58.69 Ni.upf
ATOMIC_POSITIONS crystal
Tl 0.0000 0.0000 0.0000
Zn 0.5000 0.5000 0.3465
Ni 0.0000 0.0000 0.5301
Ni 0.5000 0.5000 0.7405
CELL_PARAMETERS angstrom
3.0478 0.0000 0.0000
0.0000 3.0478 0.0000
0.0000 0.0000 6.2048
! formation energy	0.250	eV per atom
! density of states at the Fermi level	0.7809	states/eV per atom
! density	11.16	g cm⁻³
! symmetry	P4mm, No. 99